A relaxed Sr2CrCO3F5 crystal. Source: Alexandria via LeMat-Bulk, functional PBEsol.

Results
The total energy is -333.5 eV per cell. The value obtained for the spin magnetization is 0.25 μB/atom. The calculated density comes out at 4.03 Mg/m³. The value obtained for the uncorrected formation energy is -2.868 eV/atom.

Lattice parameters (Å, degrees): 5.4932 8.7534 13.2236 90.00 97.80 90.00
Site moments in Bohr magnetons follow the coordinates.
Fractional positions:
C  0.8148  0.3756  0.6368  0.01
O  0.4080  0.6232  0.4093  0.00
O  0.1328  0.6290  0.2648  -0.01
O  0.0920  0.1232  0.0907  0.00
F  0.6930  0.7157  0.5863  0.01
F  0.4444  0.5363  0.7719  0.01
F  0.8070  0.2157  0.9137  0.01
Cr  0.6344  0.3713  0.8308  2.79
C  0.6852  0.8756  0.8632  0.01
Cr  0.8656  0.8713  0.6692  2.79
O  0.9962  0.3792  0.5831  0.00
F  0.3070  0.2843  0.4137  0.01
O  0.0038  0.6208  0.4169  0.00
O  0.6328  0.8710  0.7648  -0.01
O  0.4962  0.1208  0.0831  0.00
O  0.3672  0.1290  0.2352  -0.01
F  0.0694  0.7178  0.7367  0.01
C  0.3148  0.1244  0.1368  0.01
O  0.8672  0.3710  0.7352  -0.01
Sr  0.2212  0.6419  0.9136  0.00
F  0.3311  0.9869  0.4151  0.01
O  0.5038  0.8792  0.9169  0.00
O  0.5920  0.3768  0.5907  0.00
F  0.5556  0.4637  0.2281  0.01
F  0.1689  0.4869  0.0849  0.01
F  0.9444  0.9637  0.2719  0.01
F  0.0904  0.8710  0.5661  0.01
O  0.9080  0.8768  0.9093  0.00
F  0.8311  0.5131  0.9151  0.01
Sr  0.7124  0.3925  0.4029  0.00
F  0.6689  0.0131  0.5849  0.01
Sr  0.2876  0.6075  0.5971  0.00
F  0.1930  0.7843  0.0863  0.01
F  0.0556  0.0363  0.7281  0.01
Cr  0.1344  0.1287  0.3308  2.79
Sr  0.2124  0.1075  0.9029  0.00
Sr  0.2788  0.1419  0.5864  0.00
C  0.1852  0.6244  0.3632  0.01
Sr  0.7212  0.8581  0.4136  0.00
Sr  0.7876  0.8925  0.0971  0.00
Sr  0.7788  0.3581  0.0864  0.00
F  0.9306  0.2822  0.2633  0.01
F  0.5904  0.6290  0.0661  0.01
Cr  0.3656  0.6287  0.1692  2.79
F  0.4306  0.2178  0.7633  0.01
F  0.4096  0.3710  0.9339  0.01
F  0.9096  0.1290  0.4339  0.01
F  0.5694  0.7822  0.2367  0.01